(a)
This record from Alexandria via LeMat-Bulk describes an optimized crystal structure of MoCl2O. The functional is GGA+U.

abc: 9.235 9.235 3.827
angles: 90.00 90.00 90.00
Space group I-42d (No. 122)
Asymmetric unit:
Mo (0.000, 0.000, 0.000)
Cl (0.097, 0.250, 0.125)
O (0.000, 0.000, 0.500)

Values from the calculation:
N(E_F) in states/eV per atom: 0.0000
Calculated volume in Å³/atom: 20.396
Density in g/cm3: 3.7

(b)
This record from Alexandria via LeMat-Bulk describes an optimized crystal structure of MoCl2O. The functional is GGA+U.

abc: 3.686 3.864 13.221
angles: 90.00 90.00 90.00
Space group Immm (No. 71)
Asymmetric unit:
Mo (0.000, 0.000, 0.000)
Cl (0.000, 0.500, 0.371)
O (0.000, 0.500, 0.000)

Values from the calculation:
N(E_F) in states/eV per atom: 0.1336
Calculated volume in Å³/atom: 23.537
Density in g/cm3: 3.2

(c)
This record from Alexandria via LeMat-Bulk describes an optimized crystal structure of MoCl2O. The functional is GGA+U.

abc: 6.345 6.345 6.345
angles: 90.00 90.00 90.00
Space group Fm-3m (No. 225)
Asymmetric unit:
Mo (0.000, 0.000, 0.000)
Cl (0.250, 0.250, 0.250)
O (0.000, 0.000, 0.500)

Values from the calculation:
N(E_F) in states/eV per atom: 0.6040
Calculated volume in Å³/atom: 15.965
Density in g/cm3: 4.8

Computed stability ranking, most favorable first: (b), (a), (c)

(a)
This record from Alexandria via LeMat-Bulk describes an optimized crystal structure of MoClO2. The functional is GGA+U.

abc: 2.9058 2.9058 25.4924
angles: 90.00 90.00 120.00
Space group R-3m (No. 166, hexagonal axes)
Asymmetric unit:
Mo (0.0000, 0.0000, 0.0000)
Cl (0.0000, 0.0000, 0.5000)
O (0.0000, 0.0000, 0.3800)

Values from the calculation:
N(E_F) in states/eV per atom: 0.7601
Calculated volume in Å³/atom: 15.535
Density in g/cm3: 4.4

(b)
This record from Alexandria via LeMat-Bulk describes an optimized crystal structure of MoClO2. The functional is GGA+U.

abc: 3.136 6.178 6.761
angles: 90.00 103.29 90.00
Space group P2_1/m (No. 11)
Asymmetric unit:
Mo (0.240, 0.250, 0.479)
Cl (0.407, 0.750, 0.818)
O (0.190, 0.570, 0.379)

Values from the calculation:
Calculated volume in Å³/atom: 15.934
Density in g/cm3: 4.3

(c)
This record from Alexandria via LeMat-Bulk describes an optimized crystal structure of MoClO2. The functional is GGA+U.

abc: 5.327 5.944 9.884
angles: 90.00 90.00 90.00
Space group Pnna (No. 52)
Asymmetric unit:
Mo (0.250, 0.000, 0.070)
Cl (0.064, 0.250, 0.250)
O (0.052, 0.172, 0.932)

Values from the calculation:
N(E_F) in states/eV per atom: 0.0000
Calculated volume in Å³/atom: 19.560
Density in g/cm3: 3.5

(d)
This record from Alexandria via LeMat-Bulk describes an optimized crystal structure of MoClO2. The functional is GGA+U.

abc: 2.9586 2.9586 23.6501
angles: 90.00 90.00 120.00
Space group R-3m (No. 166, hexagonal axes)
Asymmetric unit:
Mo (0.0000, 0.0000, 0.0000)
Cl (0.0000, 0.0000, 0.5000)
O (0.0000, 0.0000, 0.0757)

Values from the calculation:
N(E_F) in states/eV per atom: 0.9323
Calculated volume in Å³/atom: 14.941
Density in g/cm3: 4.5

Computed stability ranking, most favorable first: (c), (b), (a), (d)

(a)
This record from Alexandria via LeMat-Bulk describes an optimized crystal structure of MoClO2. The functional is GGA+U.

abc: 8.623 8.623 8.623
angles: 90.00 90.00 90.00
Space group Fd-3m (No. 227, origin choice 2)
Asymmetric unit:
Mo (0.125, 0.125, 0.125)
Cl (0.125, 0.125, 0.625)
O (0.000, 0.000, 0.000)

Values from the calculation:
N(E_F) in states/eV per atom: 1.2123
Calculated volume in Å³/atom: 20.035
Density in g/cm3: 3.4

(b)
This record from Alexandria via LeMat-Bulk describes an optimized crystal structure of MoClO2. The functional is GGA+U.

abc: 5.694 5.694 5.694
angles: 90.00 90.00 90.00
Space group Fm-3m (No. 225)
Asymmetric unit:
Mo (0.000, 0.000, 0.000)
Cl (0.000, 0.000, 0.500)
O (0.250, 0.250, 0.250)

Values from the calculation:
N(E_F) in states/eV per atom: 0.5316
Calculated volume in Å³/atom: 11.541
Density in g/cm3: 5.9

Computed stability ranking, most favorable first: (a), (b)